--- 1 ---
Density functional theory data (PBE) for a geometry-optimized Se2BrClO structure.

The space group is P4/mmm (No. 123) and the conventional cell measures 4.875, 4.875 and 6.545 Å, with angles of 90.00, 90.00 and 90.00 degrees. Symmetry generates all atoms from Se at (0.000, 0.500, 0.000), Br at (0.000, 0.000, 0.500), Cl at (0.000, 0.000, 0.000) and O at (0.500, 0.500, 0.500).

--- 2 ---
Density functional theory data (PBE) for a geometry-optimized Se2BrClO structure.

The space group is P4/mmm (No. 123) and the conventional cell measures 4.556, 4.556 and 4.802 Å, with angles of 90.00, 90.00 and 90.00 degrees. Symmetry generates all atoms from Se at (0.000, 0.500, 0.000), Br at (0.000, 0.000, 0.500), Cl at (0.500, 0.500, 0.500) and O at (0.000, 0.000, 0.000).

Order of stability, best first: 2, 1